A plane-wave DFT calculation with PBE+U was carried out for crystalline HoCoO3 at its relaxed geometry.

## Properties
calculated density	7.621	Mg/m³
magnetic moment	0.000	μB/atom
E_tot	-69.78	eV for the cell shown
SG	R-3

Cell lengths 5.655, 5.655, 5.655 Å; angles 56.81, 56.81, 56.81 degrees
Fractional positions:
Ho 0.135 0.135 0.135
Ho 0.865 0.865 0.865
Co 0.348 0.348 0.348
Co 0.652 0.652 0.652
O 0.059 0.465 0.711
O 0.289 0.941 0.535
O 0.465 0.711 0.059
O 0.535 0.289 0.941
O 0.711 0.059 0.465
O 0.941 0.535 0.289